Material: Cs2TlRuF6
Method: DFT, PBE
State: relaxed

abc: 6.6679 6.6679 6.6679
angles: 60.00 60.00 60.00
With the nearest neighbours (Å) after each atom.
Fractional coordinates of all 10 atoms:
Cs (0.2500, 0.2500, 0.2500)  12 F 3.35
Cs (0.7500, 0.7500, 0.7500)  12 F 3.35
Tl (0.5000, 0.5000, 0.5000)  6 F 2.68
Ru (0.0000, 0.0000, 0.0000)  6 F 2.04
F (0.2160, 0.2160, 0.7840)  1 Ru 2.04
F (0.2160, 0.7840, 0.7840)  1 Ru 2.04
F (0.7840, 0.7840, 0.2160)  1 Ru 2.04
F (0.2160, 0.7840, 0.2160)  1 Ru 2.04
F (0.7840, 0.2160, 0.7840)  1 Ru 2.04
F (0.7840, 0.2160, 0.2160)  1 Ru 2.04

* E: -4.62 eV per atom
* total moment: 1.0 Bohr magnetons per cell
* formation energy without anion corrections: -2.162 eV/atom
* space group: Fm-3m